A PBEsol-optimized structure of ZnCd3Cl, computed with SCAN.

Results
energy relative to the elements, uncorrected	-0.09	eV/atom
density of states at the Fermi level	1.1	states/eV per cell
energy	-113.17	eV per cell

Lattice parameters (Å, degrees): 5.0467 5.0467 5.0467 90.00 90.00 90.00
Fractional positions:
Zn  0.0000  0.0000  0.0000
Cd  0.0000  0.0000  0.5000
Cd  0.0000  0.5000  0.0000
Cd  0.5000  0.0000  0.0000
Cl  0.5000  0.5000  0.5000